# Hf3MnSn

Crystalline Hf3MnSn at its relaxed geometry (PBE, the Alexandria database).

The crystal system is hexagonal. As for the energy: -0.638 Ry per atom. The value obtained for the excess energy over the best structure of this formula in the dataset is 0.00 kcal/mol of atoms. The value obtained for the formation energy from the elements is -0.072 eV per atom.

```
Hf3MnSn
1.0
5.302 0.000 0.000
0.000 6.760 -0.001
0.000 -3.379 5.855
Sn Mn Hf
2 2 6
Cartesian
1.326 0.001 3.903
3.977 3.380 1.951
0.000 0.000 0.000
2.651 0.000 0.000
1.326 3.381 3.794
3.977 1.597 4.824
1.326 1.784 1.030
3.977 -1.595 4.824
1.326 4.976 1.029
3.977 0.000 2.060
```